Mg after structural relaxation, computed with GGA-PBEsol.

- Energy of formation from the pure elements: 0.08 eV/atom
- Calculated volume: 140 Å³ per cell
- Symmetry: No. 227

Cell lengths 5.830, 5.830, 5.830 Å; angles 60.00, 60.00, 60.00 degrees
Positions (direct):
Mg 0.000 0.000 0.000
Mg 0.000 0.000 0.500
Mg 0.000 0.500 0.000
Mg 0.375 0.375 0.375
Mg 0.500 0.000 0.000
Mg 0.625 0.625 0.625